First-principles (PBE) data for a geometry-optimized Nd3Ga2Ni structure, as listed in Alexandria via LeMat-Bulk.

Cell lengths 12.0717, 4.3259, 11.5304 Å; angles 90.00, 90.00, 90.00 degrees
Last column: nearest neighbours and their distance in Å.
Space group Pnma (No. 62)
One atom of each set of equivalent atoms:
1 Nd 0.0470 0.2500 0.1260 x4  1 Ni 3.01, 5 Ga 3.05-3.27
2 Nd 0.1175 0.7500 0.5551 x4  3 Ni 3.01-3.03, 5 Ga 3.08-3.18
3 Nd 0.2313 0.2500 0.7951 x4  2 Ni 2.93, 4 Ga 3.05-3.22
4 Ga 0.0162 0.7500 0.3099 x4  2 Ni 2.63
5 Ga 0.1967 0.7500 0.9982 x4  1 Ni 2.60
6 Ni 0.1238 0.2500 0.3742 x4  3 Ga 2.60-2.63

Summary:
Final energy ... -4.851 eV per atom
V ... 25.09 A^3/atom
ΔE_f ... -494 meV per atom